{
  "formula": "B5C7",
  "functional": "PBE",
  "state": "optimized geometry",
  "lattice": [[-2.212, -0.891, 0.728], [1.075, -1.043, 1.993], [-2.055, 10.495, 6.600]],
  "species": ["B", "B", "B", "B", "B", "C", "C", "C", "C", "C", "C", "C"],
  "frac_coords": [[0.500, 0.000, 0.917], [0.500, 0.000, 0.570], [0.000, 0.000, 0.676], [0.500, 0.500, 0.157], [0.500, 0.000, 0.264], [0.500, 0.500, 0.829], [0.500, 0.500, 0.488], [0.000, 0.500, 0.763], [0.000, 0.000, 0.345], [0.000, 0.500, 0.417], [0.000, 0.000, 0.004], [0.000, 0.500, 0.070]],
  "magnetic_moment_mub_per_fu": 0.000,
  "final_energy_ev_per_cell": -94.096,
  "delta_e_f_kj_per_mol_atoms": 31.02,
  "mass_density_g_cm3": 2.9
}

{
  "formula": "Ac8Ir3S",
  "functional": "PBE",
  "state": "optimized geometry",
  "lattice": [[-3.594, 2.869, 7.522], [4.248, -7.729, -0.189], [4.251, 7.381, -0.784]],
  "species": ["Ac", "Ac", "Ac", "Ac", "Ac", "Ac", "Ac", "Ac", "Ir", "Ir", "Ir", "S"],
  "frac_coords": [[0.257, 0.513, 0.770], [0.743, 0.487, 0.230], [0.268, 0.016, 0.763], [0.748, 0.016, 0.763], [0.747, 0.495, 0.763], [0.253, 0.505, 0.237], [0.252, 0.984, 0.237], [0.732, 0.984, 0.237], [0.500, 0.000, 0.000], [0.500, 0.500, 0.000], [0.000, 0.500, 0.000], [0.000, 0.000, 0.000]],
  "magnetic_moment_mub_per_fu": 0.003,
  "raw_formation_energy_mev_per_atom": -724,
  "final_energy_ev_per_cell": -72.272,
  "mass_density_g_cm3": 8.7
}